This record from the Alexandria database describes MnCoReSe after structural relaxation. The functional is GGA-PBE.

Cell: 4.310 2.809 4.443 Å, 90.00 102.91 90.00°
Sites, in units of the cell vectors:
Mn (0.000, 0.000, 0.000)
Co (0.400, 0.000, 0.608)
Re (0.518, 0.500, 0.136)
Se (0.963, 0.500, 0.581)

## Properties
Calculated volume = 13.1 Å³ per atom
DOS at the Fermi energy = 3.197 states/eV/cell
Formation energy without anion corrections = 0.24 eV per atom
E_tot = -7.815 eV per atom
E above lowest polymorph = 83 meV/atom

This record from the Alexandria database describes MnCoReSn2 after structural relaxation. The functional is GGA-PBE.

Cell: 4.735 4.735 4.468 Å, 90.00 90.00 90.00°
Sites, in units of the cell vectors:
Mn (0.000, 0.000, 0.000)
Co (0.000, 0.000, 0.500)
Re (0.500, 0.500, 0.000)
Sn (0.000, 0.500, 0.500)
Sn (0.500, 0.000, 0.500)

## Properties
Calculated volume = 20.0 Å³ per atom
Energy of formation from the pure elements = 1064 meV/atom
DOS at the Fermi energy = 3.611 states/eV/cell
E_tot = -6.282 eV per atom

This record from the Alexandria database describes MnVCoRe after structural relaxation. The functional is GGA-PBE.

Cell: 4.169 4.169 4.169 Å, 60.00 60.00 60.00°
Sites, in units of the cell vectors:
Mn (0.000, 0.000, 0.000)
V (0.500, 0.500, 0.500)
Co (0.250, 0.250, 0.250)
Re (0.750, 0.750, 0.750)

## Properties
Calculated volume = 12.8 Å³ per atom
Energy of formation from the pure elements = -70 meV/atom
DOS at the Fermi energy = 2.341 states/eV/cell
E_tot = -9.531 eV per atom

This record from the Alexandria database describes YMnCo2Re after structural relaxation. The functional is GGA-PBE.

Cell: 4.197 4.197 4.801 Å, 90.00 90.00 90.00°
Sites, in units of the cell vectors:
Y (0.000, 0.000, 0.000)
Mn (0.000, 0.000, 0.500)
Co (0.000, 0.500, 0.500)
Co (0.500, 0.000, 0.500)
Re (0.500, 0.500, 0.000)

## Properties
Calculated volume = 16.9 Å³ per atom
Energy of formation from the pure elements = 1360 meV/atom
DOS at the Fermi energy = 7.476 states/eV/cell
E_tot = -7.099 eV per atom

This record from the Alexandria database describes MnZnCoRe after structural relaxation. The functional is GGA-PBE.

Cell: 4.135 4.135 4.135 Å, 60.00 60.00 60.00°
Sites, in units of the cell vectors:
Mn (0.000, 0.000, 0.000)
Zn (0.250, 0.250, 0.250)
Co (0.500, 0.500, 0.500)
Re (0.750, 0.750, 0.750)

## Properties
Calculated volume = 12.5 Å³ per atom
Energy of formation from the pure elements = 140 meV/atom
DOS at the Fermi energy = 3.135 states/eV/cell
E_tot = -7.359 eV per atom

This record from the Alexandria database describes Mn2CoRh after structural relaxation. The functional is GGA-PBE.

Cell: 4.437 4.437 4.437 Å, 132.09 132.09 70.09°
Sites, in units of the cell vectors:
Mn (0.250, 0.750, 0.500)
Mn (0.750, 0.250, 0.500)
Co (0.000, 0.000, 0.000)
Rh (0.500, 0.500, 0.000)

## Properties
Calculated volume = 11.8 Å³ per atom
Energy of formation from the pure elements = 30 meV/atom
DOS at the Fermi energy = 4.763 states/eV/cell
E_tot = -8.169 eV per atom
E above lowest polymorph = 102 meV/atom

This record from the Alexandria database describes MnCoRh2 after structural relaxation. The functional is GGA-PBE.

Cell: 2.708 3.640 5.300 Å, 90.00 90.00 90.00°
Sites, in units of the cell vectors:
Mn (0.000, 0.000, 0.000)
Co (0.500, 0.500, 0.753)
Rh (0.000, 0.000, 0.524)
Rh (0.500, 0.500, 0.246)

## Properties
Calculated volume = 13.1 Å³ per atom
Energy of formation from the pure elements = 28 meV/atom
DOS at the Fermi energy = 5.585 states/eV/cell
E_tot = -7.717 eV per atom

This record from the Alexandria database describes Mn2CoRh2 after structural relaxation. The functional is GGA-PBE.

Cell: 7.002 7.002 2.648 Å, 90.00 90.00 90.00°
Sites, in units of the cell vectors:
Mn (0.116, 0.384, 0.000)
Mn (0.384, 0.884, 0.000)
Mn (0.616, 0.116, 0.000)
Mn (0.884, 0.616, 0.000)
Co (0.000, 0.000, 0.000)
Co (0.500, 0.500, 0.000)
Rh (0.177, 0.677, 0.500)
Rh (0.323, 0.177, 0.500)
Rh (0.677, 0.823, 0.500)
Rh (0.823, 0.323, 0.500)

## Properties
Calculated volume = 13.0 Å³ per atom
Energy of formation from the pure elements = 259 meV/atom
DOS at the Fermi energy = 12.930 states/eV/cell
E_tot = -7.770 eV per atom
E above lowest polymorph = 0 meV/atom